Density functional theory data (PBE) for an optimized crystal structure of TbSm2DyS6.

Cell and atoms, written as POSCAR:
```
TbSm2DyS6
1.0
7.0153 0.0005 0.0007
3.5080 6.0753 0.0004
3.5080 2.0256 6.2123
Tb Sm Dy S
1 2 1 6
Direct
0.3158 0.3157 0.0527 Tb
0.5196 0.5196 0.4412 Sm
0.0198 0.0199 0.9405 Sm
0.8161 0.8161 0.5516 Dy
0.6119 0.2074 0.2552 S
0.2073 0.9255 0.2552 S
0.9256 0.6119 0.2552 S
0.4271 0.7081 0.7545 S
0.7082 0.1102 0.7545 S
0.1102 0.4271 0.7545 S
```

Computed properties:
total magnetization	0.00	μB/cell
VASP energy	-63.9	eV per formula unit
symmetry	R3, No. 146
raw formation energy	-2.05	eV/atom

Density functional theory data (PBE) for an optimized crystal structure of Li2AcSb.

Cell and atoms, written as POSCAR:
```
Li2AcSb
1.0
-2.8268 0.2034 4.2181
-4.9632 -1.0703 -0.2134
-1.7671 -4.2849 2.0835
Sb Ac Li
1 1 2
Direct
0.5000 0.5000 0.5000 Sb
0.0000 0.0000 0.0000 Ac
0.2500 0.2500 0.2500 Li
0.7500 0.7500 0.7500 Li
```

Computed properties:
total magnetization	0.00	μB/cell
VASP energy	-13.7	eV per formula unit
symmetry	Fm-3m, No. 225
raw formation energy	-0.40	eV/atom

Density functional theory data (PBE) for an optimized crystal structure of CuAgOs2.

Cell and atoms, written as POSCAR:
```
CuAgOs2
1.0
-2.5053 -0.7971 -0.0755
0.4018 -1.0370 -2.3834
2.2447 -7.3957 3.5964
Ag Cu Os
1 1 2
Direct
0.5000 0.5000 0.2500 Ag
0.5000 0.5000 0.7500 Cu
0.0000 0.0000 0.9796 Os
0.0000 0.0000 0.5204 Os
```

Computed properties:
total magnetization	0.00	μB/cell
VASP energy	-26.4	eV per formula unit
symmetry	P4/mmm, No. 123

Density functional theory data (PBE) for an optimized crystal structure of CsTlHgBr6.

Cell and atoms, written as POSCAR:
```
CsTlHgBr6
1.0
7.3593 0.0048 -0.0012
3.6839 6.3779 -0.0042
-0.0011 -0.0048 8.0975
Cs Tl Hg Br
1 1 1 6
Direct
0.0001 0.0000 0.0000 Cs
0.3336 0.3333 0.5000 Tl
0.6664 0.6667 0.4999 Hg
0.0053 0.3748 0.2964 Br
0.3746 0.0054 0.7034 Br
0.6200 0.3746 0.7036 Br
0.0053 0.6199 0.7037 Br
0.3745 0.6200 0.2966 Br
0.6200 0.0054 0.2963 Br
```

Computed properties:
total magnetization	0.00	μB/cell
VASP energy	-20.4	eV per formula unit
symmetry	C2, No. 5
raw formation energy	-0.76	eV/atom

Density functional theory data (PBE) for an optimized crystal structure of Nd4DyP5.

Cell and atoms, written as POSCAR:
```
Nd4DyP5
1.0
5.2721 0.0000 2.5429
2.6360 6.5407 1.2714
-0.2054 0.0000 7.1626
Nd Dy P
4 1 5
Direct
0.4021 0.3985 0.7993 Nd
0.8006 0.7993 0.6015 Nd
0.2014 0.2007 0.3985 Nd
0.5999 0.6015 0.2007 Nd
0.0011 0.0000 0.0000 Dy
0.9026 0.3935 0.8032 P
0.2962 0.8032 0.6065 P
0.7059 0.1968 0.3935 P
0.0994 0.6065 0.1968 P
0.5012 0.0000 0.0000 P
```

Computed properties:
total magnetization	0.00	μB/cell
VASP energy	-66.2	eV per formula unit
symmetry	I4/m, No. 87

Density functional theory data (PBE) for an optimized crystal structure of K3RbSe.

Cell and atoms, written as POSCAR:
```
K3RbSe
1.0
-2.3229 4.8328 4.5093
-6.3814 -0.3941 -2.8650
-1.7226 -5.0572 4.5325
K Se Rb
3 1 1
Direct
0.0000 0.5000 0.0000 K
0.0000 0.0000 0.5000 K
0.5000 0.0000 0.0000 K
0.5000 0.5000 0.5000 Se
0.0000 0.0000 0.0000 Rb
```

Computed properties:
total magnetization	0.00	μB/cell
VASP energy	-6.3	eV per formula unit
symmetry	Pm-3m, No. 221
raw formation energy	0.29	eV/atom

Density functional theory data (PBE) for an optimized crystal structure of TiS2NF.

Cell and atoms, written as POSCAR:
```
TiS2NF
1.0
4.6853 0.0000 0.0000
0.0000 4.6853 0.0000
0.0000 0.0000 3.9104
N S F Ti
1 2 1 1
Direct
0.0000 0.0000 0.5000 N
0.0000 0.5000 0.0000 S
0.5000 0.0000 0.0000 S
0.5000 0.5000 0.5000 F
0.0000 0.0000 0.0000 Ti
```

Computed properties:
total magnetization	2.18	μB/cell
VASP energy	-25.9	eV per formula unit
symmetry	P4/mmm, No. 123
raw formation energy	0.08	eV/atom

Density functional theory data (PBE) for an optimized crystal structure of PmGe2Pd2Rh.

Cell and atoms, written as POSCAR:
```
PmGe2Pd2Rh
1.0
3.9169 0.0000 0.0000
0.0000 3.9169 0.0000
-1.9584 -1.9584 9.3864
Pm Ge Pd Rh
1 2 2 1
Direct
0.5000 0.5000 0.0000 Pm
0.3344 0.3344 0.6687 Ge
0.6656 0.6656 0.3313 Ge
0.2500 0.7500 0.5000 Pd
0.7500 0.2500 0.5000 Pd
0.0000 0.0000 0.0000 Rh
```

Computed properties:
total magnetization	0.00	μB/cell
VASP energy	-32.0	eV per formula unit
symmetry	I4/mmm, No. 139

What is the total magnetization in the sixth record?
0.00 μB/cell